# V2SiTcH

A relaxed structure of V2SiTcH (PBE, Alexandria via LeMat-Bulk).

extended XYZ file:
```
5
Lattice="3.7639 0.0000 0.0000 0.0000 3.7639 0.0000 0.0000 0.0000 3.9373" Properties=species:S:1:pos:R:3 pbc="T T T"
H 0.0000 0.0000 0.0000
Si 1.8819 1.8819 1.9686
Tc 0.0000 0.0000 1.9686
V 0.0000 1.8819 0.0000
V 1.8819 0.0000 0.0000
```

Computed properties:
E in eV per formula unit: -38.68
Space group: P4/mmm, No. 123



# Cr2Sb2Ir

A relaxed structure of Cr2Sb2Ir (PBE, Alexandria via LeMat-Bulk).

extended XYZ file:
```
10
Lattice="7.0338 0.0000 0.0000 0.0000 7.0338 0.0000 0.0000 0.0000 3.8123" Properties=species:S:1:pos:R:3 pbc="T T T"
Sb 2.4252 5.9421 0.0000
Sb 5.9421 4.6087 0.0000
Sb 4.6087 1.0917 0.0000
Sb 1.0917 2.4252 0.0000
Ir 0.0000 0.0000 0.0000
Ir 3.5169 3.5169 0.0000
Cr 1.0260 4.5429 1.9061
Cr 4.5429 6.0079 1.9061
Cr 6.0079 2.4909 1.9061
Cr 2.4909 1.0260 1.9061
```

Computed properties:
Energy above the lowest structure with this stoichiometry in eV/atom: 0.000
E in eV per formula unit: -34.35
Space group: P4/mbm, No. 127
E_form (uncorrected) in eV per formula unit: 2.01



# NdTmTlGa

A relaxed structure of NdTmTlGa (PBE, Alexandria via LeMat-Bulk).

extended XYZ file:
```
4
Lattice="5.2788 0.0000 0.0000 2.6394 4.5715 0.0000 2.6394 1.5238 4.3101" Properties=species:S:1:pos:R:3 pbc="T T T"
Tl 7.9181 4.5715 3.2326
Tm 0.0000 0.0000 0.0000
Nd 5.2788 3.0477 2.1550
Ga 2.6394 1.5238 1.0775
```

Computed properties:
Energy above the lowest structure with this stoichiometry in eV/atom: 0.038
E in eV per formula unit: -16.29
ΔE_f in eV per atom: -0.415
Space group: F-43m, No. 216



# TbVSi2

A relaxed structure of TbVSi2 (PBE, Alexandria via LeMat-Bulk).

extended XYZ file:
```
4
Lattice="-3.9436 1.1385 -0.3299 -2.7915 -2.6477 -1.4679 -3.1108 -2.1592 4.0344" Properties=species:S:1:pos:R:3 pbc="T T T"
Si -7.4667 -2.9086 2.1176
Si -2.3792 -0.7598 0.1190
Tb -4.9230 -1.8342 1.1183
V 0.0000 0.0000 0.0000
```

Computed properties:
E in eV per formula unit: -26.21
Space group: R-3m, No. 166
E_form (uncorrected) in eV per formula unit: -1.62



# BaCuReBr2

A relaxed structure of BaCuReBr2 (PBE, Alexandria via LeMat-Bulk).

extended XYZ file:
```
5
Lattice="-0.5276 -4.6505 1.8358 -0.1677 -2.2548 -5.7602 4.9979 -0.5409 0.0662" Properties=species:S:1:pos:R:3 pbc="T T T"
Re 2.1513 -3.7231 -1.9291
Cu 0.0000 0.0000 0.0000
Ba -0.0838 -1.1274 -2.8801
Br 2.4990 -0.2704 0.0331
Br -0.2638 -2.3253 0.9179
```

Computed properties:
E in eV per formula unit: -18.17
Space group: P4/mmm, No. 123
E_form (uncorrected) in eV per formula unit: 3.64



# CaGa4Ir2Rh

A relaxed structure of CaGa4Ir2Rh (PBE, Alexandria via LeMat-Bulk).

extended XYZ file:
```
8
Lattice="4.2571 0.0000 0.0000 2.1285 3.6868 0.0000 2.1285 1.2289 8.6943" Properties=species:S:1:pos:R:3 pbc="T T T"
Ca 0.0000 0.0000 0.0000
Ga 4.2571 2.4578 6.9208
Ga 6.3856 3.6868 3.4287
Ga 2.1285 1.2289 5.2656
Ga 4.2571 2.4578 1.7735
Ir 6.3856 3.6868 6.1955
Ir 2.1286 1.2289 2.4988
Rh 4.2571 2.4578 4.3471
```

Computed properties:
E in eV per formula unit: -43.59
ΔE_f in eV per atom: -0.550
Space group: R-3m, No. 166



# AcMgTlNi

A relaxed structure of AcMgTlNi (PBE, Alexandria via LeMat-Bulk).

extended XYZ file:
```
4
Lattice="5.2367 0.0000 0.0000 2.6184 4.5351 0.0000 2.6184 1.5117 4.2758" Properties=species:S:1:pos:R:3 pbc="T T T"
Mg 0.0000 0.0000 0.0000
Ni 2.6184 1.5117 1.0689
Ac 5.2367 3.0234 2.1379
Tl 7.8551 4.5351 3.2068
```

Computed properties:
E in eV per formula unit: -14.02
ΔE_f in eV per atom: -0.042
Space group: F-43m, No. 216



# LiHAu2

A relaxed structure of LiHAu2 (PBE, Alexandria via LeMat-Bulk).

extended XYZ file:
```
4
Lattice="1.7516 0.7067 3.7899 -1.9764 -1.2831 3.5183 1.5614 -3.2320 2.2467" Properties=species:S:1:pos:R:3 pbc="T T T"
H 0.0000 0.0000 0.0000
Au 0.3341 -0.9521 2.3887
Au 1.0024 -2.8562 7.1662
Li 0.6683 -1.9042 4.7775
```

Computed properties:
Energy above the lowest structure with this stoichiometry in eV/atom: 0.169
E in eV per formula unit: -10.87
Space group: Fm-3m, No. 225



# KGaSi

A relaxed structure of KGaSi (PBE, Alexandria via LeMat-Bulk).

extended XYZ file:
```
6
Lattice="23.2581 0.0000 0.0110 6.3911 2.0487 -1.7392 -6.3911 2.0487 1.7392" Properties=species:S:1:pos:R:3 pbc="T T T"
K 0.0000 2.0487 0.0000
K 11.6290 0.0000 0.0055
Si -3.3859 2.0487 1.4536
Si 26.6440 2.0487 -1.4427
Ga 8.6409 2.0487 0.2529
Ga 14.6172 2.0487 -0.2420
```

Computed properties:
E in eV per formula unit: -9.78
Space group: C2/m, No. 12
E_form (uncorrected) in eV per formula unit: -0.23